Entry 1
{"formula": "BeSeIN2", "functional": "PBE-GGA", "state": "optimized geometry", "cell": [[-0.263, -3.788, -0.699], [-0.334, -0.676, 3.787], [-6.763, 0.561, -0.496]], "species": ["N", "N", "I", "Be", "Se"], "frac_coords": [[0.000, 0.500, 0.000], [0.500, 0.000, 0.000], [0.000, 0.000, 0.000], [0.500, 0.500, 0.500], [0.000, 0.000, 0.500]], "n_ef_per_ev_fu": 0.78, "spacegroup": "No. 123"}

Entry 2
{"formula": "BeSeIN2", "functional": "PBE-GGA", "state": "optimized geometry", "cell": [[-1.470, -2.905, 2.193], [0.694, -2.545, -2.907], [5.069, -0.994, 2.081]], "species": ["N", "N", "I", "Se", "Be"], "frac_coords": [[0.500, 0.000, 0.000], [0.000, 0.500, 0.000], [0.500, 0.500, 0.500], [0.000, 0.000, 0.500], [0.000, 0.000, 0.000]], "n_ef_per_ev_fu": 3.26, "spacegroup": "No. 123"}

The structure with the greatest stability is entry 2.

Entry 1
{"formula": "BeSeIN2", "functional": "PBE-GGA", "state": "optimized geometry", "cell": [[3.750, 0.000, 0.000], [0.000, 3.750, 0.000], [0.000, 0.000, 7.521]], "species": ["Be", "N", "N", "Se", "I"], "frac_coords": [[0.500, 0.500, 0.500], [0.000, 0.500, 0.000], [0.500, 0.000, 0.000], [0.000, 0.000, 0.000], [0.000, 0.000, 0.500]], "n_ef_per_ev_fu": 3.06, "spacegroup": "No. 123"}

Entry 2
{"formula": "BeSeIN2", "functional": "PBE-GGA", "state": "optimized geometry", "cell": [[-1.859, -2.372, -2.246], [1.139, -2.893, 2.112], [-6.156, 0.732, 4.323]], "species": ["N", "N", "I", "Be", "Se"], "frac_coords": [[0.000, 0.500, 0.000], [0.500, 0.000, 0.000], [0.000, 0.000, 0.500], [0.000, 0.000, 0.000], [0.500, 0.500, 0.500]], "n_ef_per_ev_fu": 3.53, "spacegroup": "No. 123"}

The structure with the greatest stability is entry 2.

Entry 1
{"formula": "BeSiIN2", "functional": "PBE-GGA", "state": "optimized geometry", "cell": [[3.725, 0.000, 0.000], [0.000, 3.725, 0.000], [0.000, 0.000, 5.471]], "species": ["Si", "I", "N", "N", "Be"], "frac_coords": [[0.500, 0.500, 0.500], [0.000, 0.000, 0.500], [0.500, 0.000, 0.000], [0.000, 0.500, 0.000], [0.000, 0.000, 0.000]], "n_ef_per_ev_fu": 2.49, "spacegroup": "No. 123"}

Entry 2
{"formula": "BeSiIN2", "functional": "PBE-GGA", "state": "optimized geometry", "cell": [[3.489, 0.000, 0.000], [0.000, 3.489, 0.000], [0.000, 0.000, 6.751]], "species": ["N", "N", "I", "Be", "Si"], "frac_coords": [[0.000, 0.500, 0.000], [0.500, 0.000, 0.000], [0.000, 0.000, 0.500], [0.500, 0.500, 0.500], [0.000, 0.000, 0.000]], "n_ef_per_ev_fu": 1.50, "spacegroup": "No. 123"}

The structure with the greatest stability is entry 2.

Entry 1
{"formula": "BeSnI2N", "functional": "PBE-GGA", "state": "optimized geometry", "cell": [[-4.043, 4.522, 0.891], [-3.380, -2.103, -4.663], [-1.666, -1.896, 2.063]], "species": ["I", "I", "Sn", "Be", "N"], "frac_coords": [[0.500, 0.000, 0.000], [0.000, 0.500, 0.000], [0.500, 0.500, 0.500], [0.000, 0.000, 0.000], [0.000, 0.000, 0.500]], "n_ef_per_ev_fu": 2.69, "spacegroup": "No. 123"}

Entry 2
{"formula": "BeSnI2N", "functional": "PBE-GGA", "state": "optimized geometry", "cell": [[-3.453, 3.011, -3.959], [2.645, -2.969, -4.566], [-2.714, -2.792, 0.243]], "species": ["Sn", "Be", "I", "I", "N"], "frac_coords": [[0.000, 0.000, 0.000], [0.500, 0.500, 0.500], [0.000, 0.500, 0.000], [0.500, 0.000, 0.000], [0.000, 0.000, 0.500]], "n_ef_per_ev_fu": 4.25, "spacegroup": "No. 123"}

The structure with the greatest stability is entry 1.

Entry 1
{"formula": "TaBeI2N", "functional": "PBE-GGA", "state": "optimized geometry", "cell": [[5.677, 0.000, 0.000], [0.000, 5.677, 0.000], [0.000, 0.000, 3.915]], "species": ["N", "Be", "I", "I", "Ta"], "frac_coords": [[0.000, 0.000, 0.500], [0.500, 0.500, 0.500], [0.000, 0.500, 0.000], [0.500, 0.000, 0.000], [0.000, 0.000, 0.000]], "n_ef_per_ev_fu": 2.62, "spacegroup": "No. 123"}

Entry 2
{"formula": "TaBeI2N", "functional": "PBE-GGA", "state": "optimized geometry", "cell": [[-1.208, -5.235, 0.292], [2.957, -0.617, 1.175], [-1.842, 0.704, 5.006]], "species": ["Ta", "I", "I", "N", "Be"], "frac_coords": [[0.500, 0.500, 0.500], [0.500, 0.000, 0.000], [0.000, 0.000, 0.500], [0.000, 0.500, 0.000], [0.000, 0.000, 0.000]], "n_ef_per_ev_fu": 3.74, "spacegroup": "No. 123"}

The structure with the greatest stability is entry 1.

Entry 1
{"formula": "BeTlIN2", "functional": "PBE-GGA", "state": "optimized geometry", "cell": [[4.180, 0.000, 0.000], [0.000, 4.180, 0.000], [0.000, 0.000, 7.810]], "species": ["Tl", "N", "N", "I", "Be"], "frac_coords": [[0.000, 0.000, 0.000], [0.500, 0.000, 0.000], [0.000, 0.500, 0.000], [0.000, 0.000, 0.500], [0.500, 0.500, 0.500]], "n_ef_per_ev_fu": 2.47, "spacegroup": "No. 123"}

Entry 2
{"formula": "BeTlIN2", "functional": "PBE-GGA", "state": "optimized geometry", "cell": [[4.273, 0.000, 0.000], [0.000, 4.273, 0.000], [0.000, 0.000, 5.349]], "species": ["N", "N", "I", "Be", "Tl"], "frac_coords": [[0.000, 0.500, 0.000], [0.500, 0.000, 0.000], [0.000, 0.000, 0.500], [0.000, 0.000, 0.000], [0.500, 0.500, 0.500]], "n_ef_per_ev_fu": 0.92, "spacegroup": "No. 123"}

The structure with the greatest stability is entry 2.

Entry 1
{"formula": "BeWIN2", "functional": "PBE-GGA", "state": "optimized geometry", "cell": [[-2.627, 2.725, 0.154], [-1.864, -1.946, 2.662], [2.486, 2.207, 3.354]], "species": ["I", "Be", "N", "N", "W"], "frac_coords": [[0.000, 0.000, 0.500], [0.000, 0.000, 0.000], [0.500, 0.000, 0.000], [0.000, 0.500, 0.000], [0.500, 0.500, 0.500]], "n_ef_per_ev_fu": 4.69, "spacegroup": "No. 123"}

Entry 2
{"formula": "BeWIN2", "functional": "PBE-GGA", "state": "optimized geometry", "cell": [[-0.873, -3.724, 0.781], [0.919, 0.571, 3.751], [-5.560, 1.541, 1.128]], "species": ["I", "W", "Be", "N", "N"], "frac_coords": [[0.000, 0.000, 0.500], [0.000, 0.000, 0.000], [0.500, 0.500, 0.500], [0.500, 0.000, 0.000], [0.000, 0.500, 0.000]], "n_ef_per_ev_fu": 2.01, "spacegroup": "No. 123"}

The structure with the greatest stability is entry 2.

Entry 1
{"formula": "BeWI2N", "functional": "PBE-GGA", "state": "optimized geometry", "cell": [[-4.840, 0.226, -2.274], [0.942, -4.655, -2.467], [-1.249, -1.579, 2.502]], "species": ["W", "N", "I", "I", "Be"], "frac_coords": [[0.500, 0.500, 0.500], [0.000, 0.000, 0.500], [0.500, 0.000, 0.000], [0.000, 0.500, 0.000], [0.000, 0.000, 0.000]], "n_ef_per_ev_fu": 4.77, "spacegroup": "No. 123"}

Entry 2
{"formula": "BeWI2N", "functional": "PBE-GGA", "state": "optimized geometry", "cell": [[-4.492, -2.691, -1.997], [1.293, -4.473, 3.120], [-2.117, 1.397, 2.879]], "species": ["N", "Be", "I", "I", "W"], "frac_coords": [[0.000, 0.000, 0.500], [0.500, 0.500, 0.500], [0.500, 0.000, 0.000], [0.000, 0.500, 0.000], [0.000, 0.000, 0.000]], "n_ef_per_ev_fu": 3.13, "spacegroup": "No. 123"}

The structure with the greatest stability is entry 2.